CsGa2MoN (PBE, optimized geometry); calculated density = 4.9 g/cm3; DOS at the Fermi energy = 4.29 states/eV per cell; magnetic moment = 0.453 μB per atom; E_form (uncorrected) = 74.83 kJ/mol of atoms
1.0
5.722 0.000 0.000
0.000 3.925 0.000
0.000 0.000 5.722
Cs Mo Ga N
1 1 2 1
Direct
0.500 0.500 0.500
0.000 0.500 0.000
0.000 0.000 0.500
0.500 0.000 0.000
0.000 0.000 0.000